Entry 1:
A geometry-optimized K2CeCl8 structure. Source: the Alexandria database, functional GGA-PBE.

Lattice parameters (Å, degrees): 7.7674 8.6758 8.6758 64.94 56.56 56.56
Positions (direct):
Cl 0.4757 0.5780 0.5780
Cl 0.9043 0.1052 0.7126
Cl 0.0957 0.8948 0.2874
Cl 0.5243 0.4220 0.4220
Cl 0.9043 0.7126 0.1052
Cl 0.4278 0.7952 0.7952
Cl 0.0957 0.2874 0.8948
Cl 0.5722 0.2048 0.2048
Ce 0.0000 0.0000 0.0000
K 0.9045 0.7282 0.7282
K 0.0955 0.2718 0.2718

Values from the calculation:
- Calculated total energy: -3.712 eV/atom
- Space-group type: C2/m (12)

---

Entry 2:
A geometry-optimized V2Cu2Ni structure. Source: the Alexandria database, functional GGA-PBE.

Lattice parameters (Å, degrees): 6.4909 6.4909 3.0724 90.00 90.00 90.00
Positions (direct):
Ni 0.0000 0.0000 0.0000
Ni 0.5000 0.5000 0.0000
V 0.3282 0.1718 0.5000
V 0.8282 0.3282 0.5000
V 0.1718 0.6718 0.5000
V 0.6718 0.8282 0.5000
Cu 0.3707 0.8707 0.0000
Cu 0.6293 0.1293 0.0000
Cu 0.1293 0.3707 0.0000
Cu 0.8707 0.6293 0.0000

Values from the calculation:
- Space-group type: P4/mbm (127)
- Energy relative to the elements: 309 meV/atom

---

Entry 3:
A geometry-optimized CuRh2Au structure. Source: the Alexandria database, functional GGA-PBE.

Lattice parameters (Å, degrees): 4.3921 4.3921 4.3921 60.00 60.00 60.00
Positions (direct):
Cu 0.7500 0.7500 0.7500
Au 0.5000 0.5000 0.5000
Rh 0.2500 0.2500 0.2500
Rh 0.0000 0.0000 0.0000

Values from the calculation:
- Space-group type: F-43m (216)
- Energy relative to the elements: 228 meV/atom
- Energy relative to the lowest polymorph listed for this composition: 166 meV per atom

---

Entry 4:
A geometry-optimized TlAgRu structure. Source: the Alexandria database, functional GGA-PBE.

Lattice parameters (Å, degrees): 5.1057 5.1057 5.1057 145.84 131.94 60.27
Positions (direct):
Ru 0.3341 0.3341 0.0000
Ag 0.9949 0.9949 0.0000
Tl 0.6710 0.6710 0.0000

Values from the calculation:
- Space-group type: Imm2 (44)
- Energy relative to the elements: 623 meV/atom
- Energy relative to the lowest polymorph listed for this composition: 11 meV per atom

---

Entry 5:
A geometry-optimized Er8Co2Bi structure. Source: the Alexandria database, functional GGA-PBE.

Lattice parameters (Å, degrees): 5.4096 7.7563 7.7563 113.47 97.07 97.07
Positions (direct):
Er 0.9198 0.6631 0.9281
Er 0.9198 0.9281 0.6631
Er 0.0802 0.3369 0.0719
Er 0.7077 0.3977 0.3977
Er 0.0802 0.0719 0.3369
Er 0.5000 0.2518 0.7482
Er 0.2923 0.6023 0.6023
Er 0.5000 0.7482 0.2518
Co 0.0000 0.6931 0.3069
Co 0.0000 0.3069 0.6931
Bi 0.5000 0.0000 0.0000

Values from the calculation:
- Space-group type: C2/m (12)
- Energy relative to the elements: -193 meV/atom

---

Entry 6:
A geometry-optimized Te3PdPb structure. Source: the Alexandria database, functional GGA-PBE.

Lattice parameters (Å, degrees): 5.3438 5.3438 5.3438 90.00 90.00 90.00
Positions (direct):
Te 0.5000 0.0000 0.0000
Te 0.0000 0.0000 0.5000
Te 0.0000 0.5000 0.0000
Pb 0.5000 0.5000 0.5000
Pd 0.0000 0.0000 0.0000

Values from the calculation:
- Space-group type: Pm-3m (221)
- Energy relative to the lowest polymorph listed for this composition: 0 meV per atom